Compound: Pu6Ge2H
Source: Alexandria
Functional: PBE-GGA
Structure: relaxed

ρ in g/cm³: 14.694
N(E_F) in states/eV/f.u.: 28.648
Polymorph energy (0 for the lowest one) in meV per atom: 104.9

a = 5.889 Å, b = 8.830 Å, c = 7.010 Å
α = 90.00°, β = 93.17°, γ = 90.00°
Site moments in Bohr magnetons follow the coordinates.
Atoms (fractional coordinates):
Ge (0.380, 0.035, 0.218)  0.04
Pu (0.618, 0.263, 0.985)  -4.78
Pu (0.185, 0.305, 0.995)  4.36
Ge (0.120, 0.535, 0.282)  0.04
Pu (0.374, 0.553, 0.668)  -4.66
Ge (0.880, 0.465, 0.718)  0.04
H (0.500, 0.500, 0.000)  0.01
Pu (0.626, 0.447, 0.332)  -4.66
Pu (0.882, 0.763, 0.515)  -4.78
Pu (0.382, 0.737, 0.015)  -4.78
Pu (0.874, 0.947, 0.168)  -4.66
H (0.000, 0.000, 0.500)  0.01
Pu (0.685, 0.195, 0.495)  4.36
Ge (0.620, 0.965, 0.782)  0.04
Pu (0.315, 0.805, 0.505)  4.36
Pu (0.815, 0.695, 0.005)  4.36
Pu (0.118, 0.237, 0.485)  -4.78
Pu (0.126, 0.053, 0.832)  -4.66